(1)
LaSbTe2: optimized geometry, PBE-GGA.

Lattice parameters (Å, degrees): 8.099 8.099 8.099 35.23 35.23 35.23
Element x y z (fractional)
La 0.496 0.496 0.496
Te 0.228 0.228 0.228
Sb 0.737 0.737 0.737
Te 0.039 0.039 0.039

Results
* ΔE_f (raw): -626 meV per atom
* SG: No. 160


(2)
La4Sb3Te: optimized geometry, PBE-GGA.

Lattice parameters (Å, degrees): 6.525 6.525 7.994 114.09 114.09 90.00
Element x y z (fractional)
Te 0.000 0.000 0.000
Sb 0.250 0.750 0.500
La 0.500 0.000 0.000
La 0.747 0.747 0.494
La 0.253 0.253 0.506
Sb 0.750 0.250 0.500
Sb 0.500 0.500 0.000
La 0.000 0.500 0.000

Results
* ΔE_f (raw): -1391 meV per atom
* SG: No. 139


(3)
LaThSbTe: optimized geometry, PBE-GGA.

Lattice parameters (Å, degrees): 5.509 5.509 5.509 60.00 60.00 60.00
Last column: magnetic moment on the atom in μB.
Element x y z (fractional)
Sb 0.750 0.750 0.750  0.00
La 0.500 0.500 0.500  0.04
Th 0.000 0.000 0.000  0.06
Te 0.250 0.250 0.250  0.00

Results
* ΔE_f (raw): -1096 meV per atom
* energy above the lowest structure with this stoichiometry: 129.9 meV per atom
* SG: No. 216


(4)
LaThSbTe: optimized geometry, PBE-GGA.

Lattice parameters (Å, degrees): 4.537 4.537 6.417 90.00 90.00 90.00
Element x y z (fractional)
La 0.000 0.000 0.500
Th 0.500 0.500 0.000
Sb 0.000 0.000 0.000
Te 0.500 0.500 0.500

Results
* ΔE_f (raw): -1226 meV per atom
* energy above the lowest structure with this stoichiometry: 0.0 meV per atom
* SG: No. 123